[1]
First-principles (PBEsol) data for ScIr3N after structural relaxation, as listed in Alexandria.

Cell: 4.663 4.663 4.663 Å, 90.00 90.00 90.00°
Space group Pm-3m (No. 221)
Unique sites:
1 Sc 0.000 0.000 0.000 (multiplicity 1)
2 Ir 0.000 0.000 0.500 (multiplicity 3)
3 N 0.500 0.500 0.500 (multiplicity 1)

Output
Total moment: 0.92 μB/atom
DOS(E_F): 1.680 states/eV/atom
Formation energy from raw total energies: 3.022 eV/atom

---

[2]
First-principles (PBEsol) data for Li2MnNi3O8 after structural relaxation, as listed in Alexandria.

Cell: 5.583 5.655 5.756 Å, 91.59 117.48 119.23°
Space group P-1 (No. 2)
Unique sites:
1 Li 0.000 0.000 0.000 (multiplicity 1)
2 Li 0.000 0.500 0.000 (multiplicity 1)
3 Mn 0.500 0.000 0.500 (multiplicity 1)
4 Ni 0.000 0.000 0.500 (multiplicity 1)
5 Ni 0.000 0.500 0.500 (multiplicity 1)
6 Ni 0.500 0.500 0.500 (multiplicity 1)
7 O 0.040 0.265 0.304 (multiplicity 2)
8 O 0.042 0.789 0.279 (multiplicity 2)
9 O 0.461 0.736 0.698 (multiplicity 2)
10 O 0.497 0.256 0.713 (multiplicity 2)

Output
Total moment: 0.33 μB/atom
DOS(E_F): 0.225 states/eV/atom
Formation energy from raw total energies: -1.256 eV/atom

---

[3]
First-principles (PBEsol) data for CoMo2Cl after structural relaxation, as listed in Alexandria.

Cell: 2.790 2.790 7.250 Å, 90.00 90.00 90.00°
Space group P4mm (No. 99)
Unique sites:
1 Co 0.000 0.000 0.000 (multiplicity 1)
2 Mo 0.000 0.000 0.500 (multiplicity 1)
3 Mo 0.500 0.500 0.214 (multiplicity 1)
4 Cl 0.500 0.500 0.726 (multiplicity 1)

Output
Total moment: 0.00 μB/atom
DOS(E_F): 0.779 states/eV/atom
Formation energy from raw total energies: 0.333 eV/atom

---

[4]
First-principles (PBEsol) data for Li3YSb2 after structural relaxation, as listed in Alexandria.

Cell: 4.4958 4.4958 7.0498 Å, 90.00 90.00 120.00°
Space group P-3m1 (No. 164)
Unique sites:
1 Li 0.0000 0.0000 0.0000 (multiplicity 1)
2 Li 0.3333 0.6667 0.1515 (multiplicity 2)
3 Y 0.0000 0.0000 0.5000 (multiplicity 1)
4 Sb 0.3333 0.6667 0.7478 (multiplicity 2)

Output
Total moment: 0.00 μB/atom
DOS(E_F): 0.040 states/eV/atom
Formation energy from raw total energies: -0.855 eV/atom

---

[5]
First-principles (PBEsol) data for ScW3O after structural relaxation, as listed in Alexandria.

Cell: 4.180 4.180 4.180 Å, 90.00 90.00 90.00°
Space group Pm-3m (No. 221)
Unique sites:
1 Sc 0.000 0.000 0.000 (multiplicity 1)
2 W 0.000 0.500 0.500 (multiplicity 3)
3 O 0.500 0.500 0.500 (multiplicity 1)

Output
Total moment: 0.00 μB/atom
DOS(E_F): 1.264 states/eV/atom
Formation energy from raw total energies: 0.012 eV/atom

---

[6]
First-principles (PBEsol) data for K2NaBiBr6 after structural relaxation, as listed in Alexandria.

Cell: 11.273 11.273 11.273 Å, 90.00 90.00 90.00°
Space group Fm-3m (No. 225)
Unique sites:
1 K 0.250 0.250 0.250 (multiplicity 8)
2 Na 0.000 0.000 0.000 (multiplicity 4)
3 Bi 0.000 0.000 0.500 (multiplicity 4)
4 Br 0.000 0.000 0.250 (multiplicity 24)

Output
Total moment: 0.00 μB/atom
DOS(E_F): 0.000 states/eV/atom
Formation energy from raw total energies: -1.244 eV/atom

---

[7]
First-principles (PBEsol) data for MnTc2Te after structural relaxation, as listed in Alexandria.

Cell: 3.186 4.253 4.421 Å, 90.00 90.00 90.00°
Space group Pmmm (No. 47)
Unique sites:
1 Mn 0.000 0.000 0.000 (multiplicity 1)
2 Tc 0.000 0.500 0.500 (multiplicity 1)
3 Tc 0.500 0.000 0.500 (multiplicity 1)
4 Te 0.500 0.500 0.000 (multiplicity 1)

Output
Total moment: 0.54 μB/atom
DOS(E_F): 1.217 states/eV/atom
Formation energy from raw total energies: 0.487 eV/atom

---

[8]
First-principles (PBEsol) data for AlRh2Au after structural relaxation, as listed in Alexandria.

Cell: 2.911 4.642 8.607 Å, 90.00 90.00 90.00°
Space group Cmmm (No. 65)
Unique sites:
1 Al 0.000 0.000 0.000 (multiplicity 2)
2 Rh 0.000 0.500 0.224 (multiplicity 4)
3 Au 0.000 0.000 0.500 (multiplicity 2)

Output
Total moment: 0.00 μB/atom
Formation energy from the elements: -24.88 kJ per mole of atoms
DOS(E_F): 0.473 states/eV/atom

---

[9]
First-principles (PBEsol) data for Mn5Co after structural relaxation, as listed in Alexandria.

Cell: 2.442 2.442 10.398 Å, 90.00 90.00 90.00°
Space group P4/mmm (No. 123)
Unique sites:
1 Mn 0.000 0.000 0.000 (multiplicity 1)
2 Mn 0.000 0.000 0.335 (multiplicity 2)
3 Mn 0.500 0.500 0.167 (multiplicity 2)
4 Co 0.500 0.500 0.500 (multiplicity 1)

Output
Total moment: 0.07 μB/atom
Formation energy from the elements: 6.56 kJ per mole of atoms
DOS(E_F): 1.445 states/eV/atom

---

[10]
First-principles (PBEsol) data for Be3NbW after structural relaxation, as listed in Alexandria.

Cell: 4.132 4.132 4.132 Å, 90.00 90.00 90.00°
Space group Pm-3m (No. 221)
Unique sites:
1 Be 0.000 0.000 0.500 (multiplicity 3)
2 Nb 0.500 0.500 0.500 (multiplicity 1)
3 W 0.000 0.000 0.000 (multiplicity 1)

Output
Total moment: 0.00 μB/atom
Formation energy from the elements: 117.80 kJ per mole of atoms
DOS(E_F): 0.419 states/eV/atom

---

[11]
First-principles (PBEsol) data for MgTaIr2 after structural relaxation, as listed in Alexandria.

Cell: 2.989 2.989 6.916 Å, 90.00 90.00 90.00°
Space group P4/mmm (No. 123)
Unique sites:
1 Mg 0.000 0.000 0.000 (multiplicity 1)
2 Ta 0.000 0.000 0.500 (multiplicity 1)
3 Ir 0.500 0.500 0.255 (multiplicity 2)

Output
Total moment: 0.00 μB/atom
Formation energy from the elements: -50.68 kJ per mole of atoms
DOS(E_F): 0.639 states/eV/atom

---

[12]
First-principles (PBEsol) data for BaLiTl2 after structural relaxation, as listed in Alexandria.

Cell: 4.8376 4.8376 18.0913 Å, 90.00 90.00 120.00°
Space group R3m (No. 160, hexagonal axes)
Unique sites:
1 Ba 0.0000 0.0000 0.0000 (multiplicity 3)
2 Li 0.0000 0.0000 0.1898 (multiplicity 3)
3 Tl 0.0000 0.0000 0.5325 (multiplicity 3)
4 Tl 0.0000 0.0000 0.7879 (multiplicity 3)

Output
Total moment: 0.00 μB/atom
Formation energy from the elements: -32.96 kJ per mole of atoms
DOS(E_F): 0.546 states/eV/atom